DFT (PBEsol) results for Mg3SnAs after structural relaxation.

SG: Pm-3m
energy of formation from the pure elements: 0.370 eV per atom
spin magnetization: 0.0 μB/f.u.
E_tot: -2.534 eV per atom

Cell lengths 5.2029, 5.2029, 5.2029 Å; angles 90.00, 90.00, 90.00 degrees
Last column: nearest neighbours and their distance in Å.
Positions (direct):
Mg (0.0000, 0.0000, 0.5000)  2 Sn 2.60
Mg (0.0000, 0.5000, 0.0000)  2 Sn 2.60
Mg (0.5000, 0.0000, 0.0000)  2 Sn 2.60
Sn (0.0000, 0.0000, 0.0000)  6 Mg 2.60
As (0.5000, 0.5000, 0.5000)  12 Mg 3.68

DFT (PBEsol) results for BePbAu2 after structural relaxation.

E above lowest polymorph: 358 meV/atom
SG: Fm-3m
energy of formation from the pure elements: 0.346 eV per atom
spin magnetization: 0.0 μB/f.u.
E_tot: -3.616 eV per atom

Cell lengths 4.7090, 4.7090, 4.7090 Å; angles 60.00, 60.00, 60.00 degrees
Last column: nearest neighbours and their distance in Å.
Positions (direct):
Be (0.0000, 0.0000, 0.0000)  8 Au 2.88
Pb (0.5000, 0.5000, 0.5000)  8 Au 2.88
Au (0.2500, 0.2500, 0.2500)  4 Pb 2.88, 4 Be 2.88
Au (0.7500, 0.7500, 0.7500)  4 Pb 2.88, 4 Be 2.88

DFT (PBEsol) results for TlZnAg2 after structural relaxation.

SG: Imm2
energy of formation from the pure elements: 0.120 eV per atom
spin magnetization: 0.0 μB/f.u.
E_tot: -2.589 eV per atom

Cell lengths 5.2569, 5.2569, 5.2569 Å; angles 138.32, 130.34, 66.78 degrees
Last column: nearest neighbours and their distance in Å.
Positions (direct):
Tl (0.0000, 0.0000, 0.0000)  8 Ag 2.90-3.03, 4 Zn 2.93-3.07
Zn (0.2565, 0.7565, 0.5000)  6 Ag 2.74-2.90, 2 Tl 2.93
Ag (0.4844, 0.4844, 0.0000)  2 Zn 2.74, 4 Tl 2.90, 2 Ag 2.90
Ag (0.7370, 0.2370, 0.5000)  4 Zn 2.90, 4 Ag 2.90-3.10, 4 Tl 2.97-3.03

DFT (PBEsol) results for Ti2NbAs2 after structural relaxation.

SG: P4/mbm
energy of formation from the pure elements: -0.807 eV per atom
spin magnetization: 0.0 μB/f.u.
E_tot: -8.342 eV per atom

Cell lengths 6.8289, 6.8289, 3.4016 Å; angles 90.00, 90.00, 90.00 degrees
Last column: nearest neighbours and their distance in Å.
Positions (direct):
Ti (0.1530, 0.3470, 0.0000)  6 As 2.59-2.65
Ti (0.3470, 0.8470, 0.0000)  6 As 2.59-2.65
Ti (0.6530, 0.1530, 0.0000)  6 As 2.59-2.65
Ti (0.8470, 0.6530, 0.0000)  6 As 2.59-2.65
Nb (0.0000, 0.0000, 0.5000)  4 As 2.62
Nb (0.5000, 0.5000, 0.5000)  4 As 2.62
As (0.1449, 0.6449, 0.5000)  6 Ti 2.59-2.65, 2 Nb 2.62, 1 As 2.80
As (0.3551, 0.1449, 0.5000)  6 Ti 2.59-2.65, 2 Nb 2.62, 1 As 2.80
As (0.6449, 0.8551, 0.5000)  6 Ti 2.59-2.65, 2 Nb 2.62, 1 As 2.80
As (0.8551, 0.3551, 0.5000)  6 Ti 2.59-2.65, 2 Nb 2.62, 1 As 2.80

Copy entry 1 word for word.
DFT (PBEsol) results for Mg3SnAs after structural relaxation.

SG: Pm-3m
energy of formation from the pure elements: 0.370 eV per atom
spin magnetization: 0.0 μB/f.u.
E_tot: -2.534 eV per atom

Cell lengths 5.2029, 5.2029, 5.2029 Å; angles 90.00, 90.00, 90.00 degrees
Last column: nearest neighbours and their distance in Å.
Positions (direct):
Mg (0.0000, 0.0000, 0.5000)  2 Sn 2.60
Mg (0.0000, 0.5000, 0.0000)  2 Sn 2.60
Mg (0.5000, 0.0000, 0.0000)  2 Sn 2.60
Sn (0.0000, 0.0000, 0.0000)  6 Mg 2.60
As (0.5000, 0.5000, 0.5000)  12 Mg 3.68

Copy entry 3 word for word.
DFT (PBEsol) results for TlZnAg2 after structural relaxation.

SG: Imm2
energy of formation from the pure elements: 0.120 eV per atom
spin magnetization: 0.0 μB/f.u.
E_tot: -2.589 eV per atom

Cell lengths 5.2569, 5.2569, 5.2569 Å; angles 138.32, 130.34, 66.78 degrees
Last column: nearest neighbours and their distance in Å.
Positions (direct):
Tl (0.0000, 0.0000, 0.0000)  8 Ag 2.90-3.03, 4 Zn 2.93-3.07
Zn (0.2565, 0.7565, 0.5000)  6 Ag 2.74-2.90, 2 Tl 2.93
Ag (0.4844, 0.4844, 0.0000)  2 Zn 2.74, 4 Tl 2.90, 2 Ag 2.90
Ag (0.7370, 0.2370, 0.5000)  4 Zn 2.90, 4 Ag 2.90-3.10, 4 Tl 2.97-3.03

Look up the spin magnetization of the fourth one. 0.0 μB/f.u.